The following is a DFT calculation (PBE) of an optimized crystal structure of GaTeRu2.

Summary:
Fermi-level density of states   4.9 states/eV per cell
Distance to the lowest polymorph of the same formula   0.000 eV/atom
Energy relative to the elements, uncorrected   50.5 meV/atom

```
4
Lattice="0.000 3.175 3.175 3.175 0.000 3.175 3.175 3.175 0.000" Properties=species:S:1:pos:R:3 pbc="T T T"
Ru 1.588 1.588 1.588
Ru 4.763 4.763 4.763
Te 3.175 3.175 3.175
Ga 0.000 0.000 0.000
```

---

The following is a DFT calculation (PBE) of an optimized crystal structure of K3Ag.

Summary:
Fermi-level density of states   4.8 states/eV per cell
Distance to the lowest polymorph of the same formula   0.036 eV/atom
Formation enthalpy at 0 K   0.064 eV/atom

```
8
Lattice="4.764 0.000 0.000 0.000 11.174 0.000 0.000 0.000 7.972" Properties=species:S:1:pos:R:3 pbc="T T T"
Ag 0.000 3.567 0.000
Ag 2.382 7.607 3.986
K 2.382 6.067 0.000
K 0.000 5.107 3.986
K 0.000 9.322 2.052
K 0.000 9.322 5.921
K 2.382 1.853 6.038
K 2.382 1.853 1.935
```

---

The following is a DFT calculation (PBE) of an optimized crystal structure of ReW2.

Summary:
Fermi-level density of states   13.0 states/eV per cell
Distance to the lowest polymorph of the same formula   0.718 eV/atom
Formation enthalpy at 0 K   0.767 eV/atom

```
12
Lattice="-1.950 1.399 1.069 -2.316 -3.623 0.517 7.491 -2.392 16.789" Properties=species:S:1:pos:R:3 pbc="T T T"
Re 4.004 -2.369 10.402
Re 1.170 -3.646 6.905
Re 5.099 -2.331 15.575
Re -1.874 -2.285 2.800
W -0.292 -0.997 0.773
W 0.802 -1.347 3.224
W 4.373 -4.669 14.083
W 5.467 -5.018 16.534
W 0.811 -0.961 5.964
W 1.904 -1.311 8.415
W 1.321 -3.305 9.961
W 2.414 -3.655 12.411
```

---

The following is a DFT calculation (PBE) of an optimized crystal structure of Ce2ZnMo.

Summary:
Fermi-level density of states   7.2 states/eV per cell
Distance to the lowest polymorph of the same formula   0.000 eV/atom
Formation enthalpy at 0 K   0.078 eV/atom

```
4
Lattice="3.521 0.000 0.000 0.000 3.521 0.000 0.000 0.000 7.297" Properties=species:S:1:pos:R:3 pbc="T T T"
Mo 1.761 1.761 0.000
Zn 1.761 1.761 3.648
Ce 0.000 0.000 5.596
Ce 0.000 0.000 1.700
```